No. 1
LuZr2Sc, optimized geometry, DFT PBE; symmetry = P4/mmm; total energy = -27.331 eV per cell; energy above the lowest structure with this stoichiometry = 0.104 eV/atom; E_form = 0.6 eV per formula unit; Fermi-level density of states = 7.6 states/eV/cell
1.0
3.765 0.000 0.000
0.000 3.765 0.000
0.000 0.000 6.914
Lu Zr Sc
1 2 1
direct
0.000 0.000 0.000 Lu
0.500 0.500 0.277 Zr
0.500 0.500 0.723 Zr
0.000 0.000 0.500 Sc

---

No. 2
LuZr2Sc, optimized geometry, DFT PBE; symmetry = P4/mmm; total energy = -27.747 eV per cell; energy above the lowest structure with this stoichiometry = 0.000 eV/atom; E_form = 0.2 eV per formula unit; Fermi-level density of states = 5.5 states/eV/cell
1.0
4.586 0.000 0.000
0.000 4.586 0.000
0.000 0.000 4.657
Lu Zr Sc
1 2 1
direct
0.000 0.000 0.000 Lu
0.000 0.500 0.500 Zr
0.500 0.000 0.500 Zr
0.500 0.500 0.000 Sc

---

No. 3
LuZrSc, optimized geometry, DFT PBE; symmetry = P-6m2; total energy = -19.094 eV per cell; energy above the lowest structure with this stoichiometry = 0.062 eV/atom; E_form = 0.3 eV per formula unit; Fermi-level density of states = 5.5 states/eV/cell
1.0
5.173 0.000 0.000
-2.587 4.480 0.000
0.000 0.000 3.231
Lu Zr Sc
1 1 1
direct
0.000 0.000 0.000 Lu
0.333 0.667 0.000 Zr
0.667 0.333 0.500 Sc

---

No. 4
LuZrSc, optimized geometry, DFT PBE; symmetry = I4mm; total energy = -19.280 eV per cell; energy above the lowest structure with this stoichiometry = 0.000 eV/atom; E_form = 0.1 eV per formula unit; Fermi-level density of states = 4.8 states/eV/cell
1.0
-1.649 1.649 7.024
1.649 -1.649 7.024
1.649 1.649 -7.024
Lu Zr Sc
1 1 1
direct
0.000 0.000 0.000 Lu
0.664 0.664 0.000 Zr
0.317 0.317 0.000 Sc

---

No. 5
LuSe2, optimized geometry, DFT PBE; symmetry = C2/m; total energy = -15.618 eV per cell; uncorrected formation energy = -1.38 eV per atom; Fermi-level density of states = 0.6 states/eV/cell
1.0
3.327 -2.272 0.000
3.327 2.272 0.000
-2.928 0.000 5.394
Lu Se
1 2
direct
0.000 0.000 0.000 Lu
0.488 0.488 0.260 Se
0.512 0.512 0.740 Se

---

No. 6
LuSe2, optimized geometry, DFT PBE; symmetry = P4/nmm; total energy = -31.800 eV per cell; uncorrected formation energy = -1.47 eV per atom; Fermi-level density of states = 0.5 states/eV/cell
1.0
4.020 0.000 0.000
0.000 4.020 0.000
0.000 0.000 8.191
Lu Se
2 4
direct
0.250 0.250 0.226 Lu
0.750 0.750 0.774 Lu
0.250 0.250 0.871 Se
0.250 0.750 0.500 Se
0.750 0.250 0.500 Se
0.750 0.750 0.129 Se

---

No. 7
SmLu2Se, optimized geometry, DFT PBE; symmetry = R-3m; total energy = -19.257 eV per cell; uncorrected formation energy = -0.50 eV per atom; Fermi-level density of states = 5.7 states/eV/cell
1.0
1.811 1.046 10.401
-1.811 1.046 10.401
0.000 -2.091 10.401
Sm Lu Se
1 2 1
direct
0.000 0.000 0.000 Sm
0.109 0.109 0.109 Lu
0.891 0.891 0.891 Lu
0.500 0.500 0.500 Se

---

No. 8
SmLuSe, optimized geometry, DFT PBE; symmetry = P3m1; total energy = -15.934 eV per cell; uncorrected formation energy = -1.07 eV per atom; Fermi-level density of states = 2.2 states/eV/cell
1.0
3.844 0.000 0.000
-1.922 3.329 0.000
0.000 0.000 6.577
Sm Lu Se
1 1 1
direct
0.000 0.000 0.000 Sm
0.333 0.667 0.561 Lu
0.667 0.333 0.294 Se

---

No. 9
SmLuSe3, optimized geometry, DFT PBE; symmetry = P2_1/m; total energy = -116.225 eV per cell; uncorrected formation energy = -1.87 eV per atom
1.0
11.536 0.000 0.000
0.000 4.097 0.000
-3.831 0.000 11.196
Sm Lu Se
4 4 12
direct
0.049 0.250 0.197 Sm
0.319 0.750 0.997 Sm
0.681 0.250 0.003 Sm
0.951 0.750 0.803 Sm
0.158 0.250 0.582 Lu
0.437 0.250 0.337 Lu
0.563 0.750 0.663 Lu
0.842 0.750 0.418 Lu
0.082 0.750 0.406 Se
0.112 0.250 0.964 Se
0.190 0.750 0.743 Se
0.263 0.750 0.231 Se
0.394 0.250 0.561 Se
0.486 0.250 0.124 Se
0.514 0.750 0.876 Se
0.606 0.750 0.439 Se
0.737 0.250 0.769 Se
0.810 0.250 0.257 Se
0.888 0.750 0.036 Se
0.918 0.250 0.594 Se

---

No. 10
SrLu2Se, optimized geometry, DFT PBE; symmetry = R-3m; total energy = -16.242 eV per cell; uncorrected formation energy = -0.51 eV per atom; Fermi-level density of states = 4.0 states/eV/cell
1.0
1.881 1.086 10.542
-1.881 1.086 10.542
0.000 -2.172 10.542
Sr Lu Se
1 2 1
direct
0.000 0.000 0.000 Sr
0.112 0.112 0.112 Lu
0.888 0.888 0.888 Lu
0.500 0.500 0.500 Se

---

No. 11
Tb2LuSe, optimized geometry, DFT PBE; symmetry = P4/mmm; total energy = -19.997 eV per cell; uncorrected formation energy = -0.68 eV per atom; Fermi-level density of states = 4.0 states/eV/cell
1.0
3.592 0.000 0.000
0.000 3.592 0.000
0.000 0.000 8.449
Tb Lu Se
2 1 1
direct
0.000 0.000 0.211 Tb
0.000 0.000 0.789 Tb
0.500 0.500 0.500 Lu
0.500 0.500 0.000 Se

---

No. 12
Lu2TeSe, optimized geometry, DFT PBE; symmetry = R-3m; total energy = -21.120 eV per cell; uncorrected formation energy = -1.36 eV per atom; Fermi-level density of states = 1.3 states/eV/cell
1.0
2.064 1.192 6.785
-2.064 1.192 6.785
0.000 -2.383 6.785
Lu Te Se
2 1 1
direct
0.237 0.237 0.237 Lu
0.763 0.763 0.763 Lu
0.000 0.000 0.000 Te
0.500 0.500 0.500 Se

---

No. 13
Lu3Tl5Se12, optimized geometry, DFT PBE; symmetry = Ia-3d; total energy = -320.698 eV per cell; uncorrected formation energy = -0.65 eV per atom; Fermi-level density of states = 24.9 states/eV/cell
1.0
-8.337 8.337 8.337
8.337 -8.337 8.337
8.337 8.337 -8.337
Lu Tl Se
12 20 48
direct
0.125 0.250 0.375 Lu
0.125 0.375 0.750 Lu
0.250 0.375 0.125 Lu
0.250 0.875 0.625 Lu
0.375 0.125 0.250 Lu
0.375 0.750 0.125 Lu
0.625 0.250 0.875 Lu
0.625 0.875 0.750 Lu
0.750 0.125 0.375 Lu
0.750 0.625 0.875 Lu
0.875 0.625 0.250 Lu
0.875 0.750 0.625 Lu
0.000 0.000 0.000 Tl
0.000 0.000 0.500 Tl
0.000 0.500 0.000 Tl
0.000 0.500 0.500 Tl
0.125 0.750 0.875 Tl
0.125 0.875 0.250 Tl
0.250 0.125 0.875 Tl
0.250 0.625 0.375 Tl
0.375 0.250 0.625 Tl
0.375 0.625 0.750 Tl
0.500 0.000 0.000 Tl
0.500 0.000 0.500 Tl
0.500 0.500 0.000 Tl
0.500 0.500 0.500 Tl
0.625 0.375 0.250 Tl
0.625 0.750 0.375 Tl
0.750 0.375 0.625 Tl
0.750 0.875 0.125 Tl
0.875 0.125 0.750 Tl
0.875 0.250 0.125 Tl
0.058 0.231 0.143 Se
0.058 0.327 0.915 Se
0.085 0.643 0.412 Se
0.085 0.942 0.673 Se
0.088 0.731 0.673 Se
0.088 0.857 0.415 Se
0.143 0.058 0.231 Se
0.143 0.585 0.912 Se
0.173 0.231 0.588 Se
0.173 0.442 0.585 Se
0.231 0.143 0.058 Se
0.231 0.588 0.173 Se
0.269 0.327 0.912 Se
0.269 0.442 0.357 Se
0.327 0.912 0.269 Se
0.327 0.915 0.058 Se
0.357 0.269 0.442 Se
0.357 0.588 0.915 Se
0.412 0.085 0.643 Se
0.412 0.827 0.769 Se
0.415 0.088 0.857 Se
0.415 0.827 0.558 Se
0.442 0.357 0.269 Se
0.442 0.585 0.173 Se
0.558 0.415 0.827 Se
0.558 0.643 0.731 Se
0.585 0.173 0.442 Se
0.585 0.912 0.143 Se
0.588 0.173 0.231 Se
0.588 0.915 0.357 Se
0.643 0.412 0.085 Se
0.643 0.731 0.558 Se
0.673 0.085 0.942 Se
0.673 0.088 0.731 Se
0.731 0.558 0.643 Se
0.731 0.673 0.088 Se
0.769 0.412 0.827 Se
0.769 0.857 0.942 Se
0.827 0.558 0.415 Se
0.827 0.769 0.412 Se
0.857 0.415 0.088 Se
0.857 0.942 0.769 Se
0.912 0.143 0.585 Se
0.912 0.269 0.327 Se
0.915 0.058 0.327 Se
0.915 0.357 0.588 Se
0.942 0.673 0.085 Se
0.942 0.769 0.857 Se

---

No. 14
Lu2TlSe, optimized geometry, DFT PBE; symmetry = P4/mmm; total energy = -17.925 eV per cell; uncorrected formation energy = -0.76 eV per atom; energy above the lowest structure with this stoichiometry = 0.193 eV/atom; Fermi-level density of states = 3.1 states/eV/cell
1.0
3.467 0.000 0.000
0.000 3.467 0.000
0.000 0.000 7.912
Lu Tl Se
2 1 1
direct
0.000 0.000 0.225 Lu
0.000 0.000 0.775 Lu
0.500 0.500 0.500 Tl
0.500 0.500 0.000 Se

---

No. 15
Lu2TlSe, optimized geometry, DFT PBE; symmetry = R-3m; total energy = -18.698 eV per cell; uncorrected formation energy = -0.95 eV per atom; energy above the lowest structure with this stoichiometry = 0.000 eV/atom; Fermi-level density of states = 1.1 states/eV/cell
1.0
1.904 1.099 8.008
-1.904 1.099 8.008
0.000 -2.199 8.008
Lu Tl Se
2 1 1
direct
0.239 0.239 0.239 Lu
0.761 0.761 0.761 Lu
0.000 0.000 0.000 Tl
0.500 0.500 0.500 Se

---

No. 16
LuTlSe2, optimized geometry, DFT PBE; symmetry = R-3m; total energy = -19.296 eV per cell; uncorrected formation energy = -1.36 eV per atom
1.0
2.055 1.186 7.784
-2.055 1.186 7.784
0.000 -2.373 7.784
Lu Tl Se
1 1 2
direct
0.000 0.000 0.000 Lu
0.500 0.500 0.500 Tl
0.267 0.267 0.267 Se
0.733 0.733 0.733 Se

---

No. 17
Tm2LuSe, optimized geometry, DFT PBE; symmetry = P4/mmm; total energy = -19.610 eV per cell; uncorrected formation energy = -0.67 eV per atom; energy above the lowest structure with this stoichiometry = 0.000 eV/atom; Fermi-level density of states = 4.5 states/eV/cell
1.0
3.534 0.000 0.000
0.000 3.534 0.000
0.000 0.000 8.429
Tm Lu Se
2 1 1
direct
0.000 0.000 0.211 Tm
0.000 0.000 0.789 Tm
0.500 0.500 0.500 Lu
0.500 0.500 0.000 Se

---

No. 18
Tm2LuSe, optimized geometry, DFT PBE; symmetry = R-3m; total energy = -18.883 eV per cell; uncorrected formation energy = -0.48 eV per atom; energy above the lowest structure with this stoichiometry = 0.182 eV/atom; Fermi-level density of states = 4.9 states/eV/cell
1.0
1.814 1.047 10.250
-1.814 1.047 10.250
0.000 -2.095 10.250
Tm Lu Se
2 1 1
direct
0.107 0.107 0.107 Tm
0.893 0.893 0.893 Tm
0.000 0.000 0.000 Lu
0.500 0.500 0.500 Se

---

No. 19
TmLuSe2, optimized geometry, DFT PBE; symmetry = R-3m; total energy = -22.455 eV per cell; uncorrected formation energy = -1.62 eV per atom; Fermi-level density of states = 1.9 states/eV/cell
1.0
2.004 1.157 6.503
-2.004 1.157 6.503
0.000 -2.314 6.503
Tm Lu Se
1 1 2
direct
0.000 0.000 0.000 Tm
0.500 0.500 0.500 Lu
0.249 0.249 0.249 Se
0.751 0.751 0.751 Se

---

No. 20
Tm3Lu5Se12, optimized geometry, DFT PBE; symmetry = Ia-3d; total energy = -440.092 eV per cell; uncorrected formation energy = -1.61 eV per atom; Fermi-level density of states = 0.0 states/eV/cell
1.0
-8.278 8.278 8.278
8.278 -8.278 8.278
8.278 8.278 -8.278
Tm Lu Se
12 20 48
direct
0.125 0.250 0.375 Tm
0.125 0.375 0.750 Tm
0.250 0.375 0.125 Tm
0.250 0.875 0.625 Tm
0.375 0.125 0.250 Tm
0.375 0.750 0.125 Tm
0.625 0.250 0.875 Tm
0.625 0.875 0.750 Tm
0.750 0.125 0.375 Tm
0.750 0.625 0.875 Tm
0.875 0.625 0.250 Tm
0.875 0.750 0.625 Tm
0.000 0.000 0.000 Lu
0.000 0.000 0.500 Lu
0.000 0.500 0.000 Lu
0.000 0.500 0.500 Lu
0.125 0.750 0.875 Lu
0.125 0.875 0.250 Lu
0.250 0.125 0.875 Lu
0.250 0.625 0.375 Lu
0.375 0.250 0.625 Lu
0.375 0.625 0.750 Lu
0.500 0.000 0.000 Lu
0.500 0.000 0.500 Lu
0.500 0.500 0.000 Lu
0.500 0.500 0.500 Lu
0.625 0.375 0.250 Lu
0.625 0.750 0.375 Lu
0.750 0.375 0.625 Lu
0.750 0.875 0.125 Lu
0.875 0.125 0.750 Lu
0.875 0.250 0.125 Lu
0.049 0.223 0.130 Se
0.049 0.325 0.919 Se
0.081 0.630 0.406 Se
0.081 0.951 0.675 Se
0.094 0.723 0.675 Se
0.094 0.870 0.419 Se
0.130 0.049 0.223 Se
0.130 0.581 0.906 Se
0.175 0.223 0.594 Se
0.175 0.451 0.581 Se
0.223 0.130 0.049 Se
0.223 0.594 0.175 Se
0.277 0.325 0.906 Se
0.277 0.451 0.370 Se
0.325 0.906 0.277 Se
0.325 0.919 0.049 Se
0.370 0.277 0.451 Se
0.370 0.594 0.919 Se
0.406 0.081 0.630 Se
0.406 0.825 0.777 Se
0.419 0.094 0.870 Se
0.419 0.825 0.549 Se
0.451 0.370 0.277 Se
0.451 0.581 0.175 Se
0.549 0.419 0.825 Se
0.549 0.630 0.723 Se
0.581 0.175 0.451 Se
0.581 0.906 0.130 Se
0.594 0.175 0.223 Se
0.594 0.919 0.370 Se
0.630 0.406 0.081 Se
0.630 0.723 0.549 Se
0.675 0.081 0.951 Se
0.675 0.094 0.723 Se
0.723 0.549 0.630 Se
0.723 0.675 0.094 Se
0.777 0.406 0.825 Se
0.777 0.870 0.951 Se
0.825 0.549 0.419 Se
0.825 0.777 0.406 Se
0.870 0.419 0.094 Se
0.870 0.951 0.777 Se
0.906 0.130 0.581 Se
0.906 0.277 0.325 Se
0.919 0.049 0.325 Se
0.919 0.370 0.594 Se
0.951 0.675 0.081 Se
0.951 0.777 0.870 Se